SCAN SiPdN2, single point on PBEsol structure; crystal system = trigonal; raw formation energy = -113 kJ/mol of formula units; density of states at the Fermi level = 1.88 states/eV per cell
1.0
2.772 0.000 0.000
1.386 2.401 0.000
1.386 0.800 5.911
Si N Pd
1 2 1
direct
0.500 0.500 0.500
0.889 0.889 0.332
0.111 0.111 0.668
0.000 0.000 0.000

=====

SCAN Nb2NF, single point on PBEsol structure; crystal system = tetragonal; raw formation energy = -276 kJ/mol of formula units; density of states at the Fermi level = 6.78 states/eV per cell
1.0
5.120 0.000 0.000
-2.560 5.149 0.047
0.000 2.504 4.465
F Nb N
2 4 2
direct
0.750 0.500 0.750
0.000 0.000 0.000
0.170 0.750 0.875
0.875 0.250 0.580
0.375 0.250 0.170
0.580 0.750 0.375
0.500 0.000 0.500
0.250 0.500 0.250

=====

SCAN Mg2SeCl, single point on PBEsol structure; crystal system = tetragonal; raw formation energy = -313 kJ/mol of formula units; density of states at the Fermi level = 1.17 states/eV per cell
1.0
-1.852 -0.411 -2.851
-0.971 -3.102 1.078
-5.450 2.797 3.136
Cl Mg Se
1 2 1
direct
0.500 0.500 0.500
0.000 0.000 0.779
0.000 0.000 0.221
0.500 0.500 0.000

=====

SCAN NiPb2, single point on PBEsol structure; crystal system = tetragonal; density of states at the Fermi level = 1.94 states/eV per cell; calculated formation energy = 88 kJ/mol of formula units
1.0
3.250 0.000 0.000
0.000 4.608 0.000
0.000 0.000 4.608
Pb Ni
2 1
direct
0.500 0.000 0.500
0.500 0.500 0.000
0.000 0.000 0.000